A plane-wave DFT calculation with GGA-PBE was carried out for an optimized crystal structure of YTl2.

## Properties
Fermi-level density of states: 16.52 states/eV/cell
Calculated volume: 84.59 Å³/f.u.
ΔH_f (0 K): -0.055 eV per atom
Size of the total moment: 0.0 μB per cell
Mass density: 9.770 g/cm³
E: -0.278 Ry per atom

a b c (Å): 8.7794 8.7794 8.7794
angles (deg): 90.00 90.00 90.00
Space group Fd-3m (No. 227, origin choice 2)
Inequivalent atoms, fractional coordinates:
Y  0.1250  0.1250  0.1250
Tl  0.0000  0.0000  0.5000

---

A plane-wave DFT calculation with GGA-PBE was carried out for an optimized crystal structure of Tm12Co6Bi.

## Properties
Fermi-level density of states: 16.35 states/eV/cell
Calculated volume: 437.46 Å³/f.u.
ΔH_f (0 K): -0.322 eV per atom
Size of the total moment: 0.0 μB per cell
Mass density: 9.830 g/cm³
E: -0.411 Ry per atom

a b c (Å): 9.5644 9.5644 9.5644
angles (deg): 90.00 90.00 90.00
Space group Im-3 (No. 204)
Inequivalent atoms, fractional coordinates:
Tm  0.0000  0.1966  0.3053
Co  0.0000  0.3865  0.5000
Bi  0.0000  0.0000  0.0000

---

A plane-wave DFT calculation with GGA-PBE was carried out for an optimized crystal structure of Zn2CrIr.

## Properties
Fermi-level density of states: 0.90 states/eV/cell
Calculated volume: 57.46 Å³/f.u.
ΔH_f (0 K): 0.026 eV per atom
Size of the total moment: 3.9 μB per cell
Mass density: 10.838 g/cm³
Distance to the lowest polymorph of the same formula: 119.0 meV/atom
E: -0.385 Ry per atom

a b c (Å): 3.1455 3.1455 5.8072
angles (deg): 90.00 90.00 90.00
Space group P4/mmm (No. 123)
Inequivalent atoms, fractional coordinates:
Zn  0.0000  0.0000  0.2433
Cr  0.5000  0.5000  0.5000
Ir  0.5000  0.5000  0.0000

---

A plane-wave DFT calculation with GGA-PBE was carried out for an optimized crystal structure of NaAgHg4.

## Properties
Fermi-level density of states: 3.15 states/eV/cell
Calculated volume: 142.53 Å³/f.u.
ΔH_f (0 K): -0.069 eV per atom
Size of the total moment: 0.0 μB per cell
Mass density: 10.872 g/cm³
Distance to the lowest polymorph of the same formula: 0.0 meV/atom
E: -0.071 Ry per atom

a b c (Å): 10.3467 4.1052 7.0901
angles (deg): 90.00 108.81 90.00
Space group C2/m (No. 12)
Inequivalent atoms, fractional coordinates:
Na  0.0000  0.0000  0.0000
Ag  0.0000  0.0000  0.5000
Hg  0.1587  0.5000  0.3424
Hg  0.1675  0.5000  0.8221

---

A plane-wave DFT calculation with GGA-PBE was carried out for an optimized crystal structure of Tb3Pm5Tm4.

## Properties
Fermi-level density of states: 33.82 states/eV/cell
Calculated volume: 392.91 Å³/f.u.
ΔH_f (0 K): 0.251 eV per atom
Size of the total moment: 0.7 μB per cell
Mass density: 7.935 g/cm³
E: -0.322 Ry per atom

a b c (Å): 12.4587 5.7351 11.0735
angles (deg): 90.00 96.70 90.00
Space group C2/m (No. 12)
Inequivalent atoms, fractional coordinates:
Tb  0.0000  0.0000  0.0000
Tb  0.2444  0.0000  0.8883
Pm  0.0000  0.5000  0.0000
Pm  0.1015  0.0000  0.5900
Pm  0.1442  0.0000  0.2721
Tm  0.0771  0.5000  0.7549
Tm  0.1457  0.5000  0.4549

---

A plane-wave DFT calculation with GGA-PBE was carried out for an optimized crystal structure of Li5Cd6Sn.

## Properties
Fermi-level density of states: 6.74 states/eV/cell
Calculated volume: 237.40 Å³/f.u.
ΔH_f (0 K): -0.219 eV per atom
Size of the total moment: 0.0 μB per cell
Mass density: 5.791 g/cm³
E: -0.133 Ry per atom

a b c (Å): 13.5053 8.2063 4.5290
angles (deg): 90.00 108.93 90.00
Space group C2/m (No. 12)
Inequivalent atoms, fractional coordinates:
Li  0.0000  0.0000  0.0000
Li  0.1506  0.5000  0.6495
Li  0.1749  0.0000  0.6746
Cd  0.0000  0.2185  0.5000
Cd  0.1717  0.2279  0.1719
Sn  0.0000  0.5000  0.0000

---

A plane-wave DFT calculation with GGA-PBE was carried out for an optimized crystal structure of AcTlIn2.

## Properties
Fermi-level density of states: 1.84 states/eV/cell
Calculated volume: 121.55 Å³/f.u.
ΔH_f (0 K): -0.366 eV per atom
Size of the total moment: 0.0 μB per cell
Mass density: 9.030 g/cm³
Distance to the lowest polymorph of the same formula: 0.0 meV/atom
E: -0.247 Ry per atom

a b c (Å): 4.9458 4.9458 4.9692
angles (deg): 90.00 90.00 90.00
Space group P4/mmm (No. 123)
Inequivalent atoms, fractional coordinates:
Ac  0.0000  0.0000  0.0000
Tl  0.5000  0.5000  0.0000
In  0.0000  0.5000  0.5000

---

A plane-wave DFT calculation with GGA-PBE was carried out for an optimized crystal structure of ScAlTc2.

## Properties
Fermi-level density of states: 6.65 states/eV/cell
Calculated volume: 63.95 Å³/f.u.
ΔH_f (0 K): -0.002 eV per atom
Size of the total moment: 0.0 μB per cell
Mass density: 6.957 g/cm³
Distance to the lowest polymorph of the same formula: 305.2 meV/atom
E: -0.566 Ry per atom

a b c (Å): 2.7879 2.7879 8.2281
angles (deg): 90.00 90.00 90.00
Space group P4/mmm (No. 123)
Inequivalent atoms, fractional coordinates:
Sc  0.0000  0.0000  0.0000
Al  0.0000  0.0000  0.5000
Tc  0.5000  0.5000  0.2725